# 1
{"formula": "Pd2I5", "functional": "PBE", "state": "optimized geometry", "lattice": [[6.924, 0.000, 0.000], [0.000, 7.529, 1.364], [-3.462, 0.833, 8.723]], "species": ["Pd", "Pd", "Pd", "Pd", "I", "I", "I", "I", "I", "I", "I", "I", "I", "I"], "fractional_positions": [[0.094, 0.297, 0.711], [0.383, 0.203, 0.289], [0.906, 0.703, 0.289], [0.617, 0.797, 0.711], [0.192, 0.544, 0.194], [0.998, 0.956, 0.806], [0.214, 0.629, 0.593], [0.621, 0.871, 0.407], [0.786, 0.371, 0.407], [0.379, 0.129, 0.593], [0.002, 0.044, 0.194], [0.808, 0.456, 0.806], [0.413, 0.250, 0.000], [0.587, 0.750, 0.000]], "space_group": "C2/c", "magnetic_moment_mub_per_cell": 0.00, "dft_energy_ev_per_cell": -37.6, "dos_ef_per_ev_fu": 5.1}

***

# 2
{"formula": "PdI3", "functional": "PBE", "state": "optimized geometry", "lattice": [[10.741, 0.000, 0.000], [0.000, 10.741, 0.000], [5.370, 5.370, 2.822]], "species": ["I", "I", "I", "I", "I", "I", "Pd", "Pd"], "fractional_positions": [[0.405, 0.125, 0.250], [0.345, 0.625, 0.250], [0.375, 0.595, 0.750], [0.875, 0.655, 0.750], [0.000, 0.000, 0.000], [0.750, 0.250, 0.500], [0.500, 0.500, 0.000], [0.250, 0.750, 0.500]], "space_group": "I-42d", "magnetic_moment_mub_per_cell": 0.00, "dft_energy_ev_per_cell": -19.2, "dos_ef_per_ev_fu": 3.2}

***

# 3
{"formula": "PdI3", "functional": "PBE", "state": "optimized geometry", "lattice": [[-2.548, 2.817, 1.242], [-3.280, -6.975, 2.663], [4.777, 0.801, 7.981]], "species": ["Pd", "Pd", "I", "I", "I", "I", "I", "I"], "fractional_positions": [[0.600, 0.200, 0.750], [0.400, 0.800, 0.250], [0.421, 0.842, 0.750], [0.579, 0.158, 0.250], [0.125, 0.250, 0.937], [0.875, 0.750, 0.063], [0.875, 0.750, 0.437], [0.125, 0.250, 0.563]], "space_group": "Cmcm", "magnetic_moment_mub_per_cell": 0.00, "dft_energy_ev_per_cell": -20.0, "dos_ef_per_ev_fu": 4.7}

***

# 4
{"formula": "PdI", "functional": "PBE", "state": "optimized geometry", "lattice": [[-1.755, -1.772, 7.888], [-0.292, -4.311, -1.033], [6.193, 0.186, -2.526]], "species": ["I", "I", "I", "I", "Pd", "Pd", "Pd", "Pd"], "fractional_positions": [[0.750, 0.861, 0.750], [0.250, 0.139, 0.250], [0.750, 0.361, 0.250], [0.250, 0.639, 0.750], [0.500, 0.250, 0.750], [0.000, 0.250, 0.750], [0.500, 0.750, 0.250], [0.000, 0.750, 0.250]], "space_group": "C2/c", "magnetic_moment_mub_per_cell": 0.00, "dft_energy_ev_per_cell": -27.0, "dos_ef_per_ev_fu": 0.9}

***

# 5
{"formula": "PdI", "functional": "PBE", "state": "optimized geometry", "lattice": [[-1.596, 0.450, 7.314], [6.949, -2.280, 1.656], [1.348, 4.138, 0.040]], "species": ["Pd", "Pd", "Pd", "Pd", "I", "I", "I", "I"], "fractional_positions": [[0.368, 0.632, 0.000], [0.868, 0.868, 0.500], [0.132, 0.132, 0.500], [0.632, 0.368, 0.000], [0.281, 0.281, 0.000], [0.781, 0.219, 0.500], [0.219, 0.781, 0.500], [0.719, 0.719, 0.000]], "space_group": "P4_2/mnm", "magnetic_moment_mub_per_cell": 0.00, "dft_energy_ev_per_cell": -27.0, "dos_ef_per_ev_fu": 2.3}

***

# 6
{"formula": "PdI", "functional": "PBE", "state": "optimized geometry", "lattice": [[10.148, 0.000, 0.000], [-5.074, 8.788, 0.000], [0.000, 0.000, 4.454]], "species": ["Pd", "Pd", "Pd", "Pd", "Pd", "Pd", "I", "I", "I", "I", "I", "I"], "fractional_positions": [[0.580, 0.993, 0.250], [0.587, 0.580, 0.750], [0.007, 0.587, 0.250], [0.420, 0.007, 0.750], [0.413, 0.420, 0.250], [0.993, 0.413, 0.750], [0.867, 0.261, 0.250], [0.606, 0.867, 0.750], [0.739, 0.606, 0.250], [0.133, 0.739, 0.750], [0.394, 0.133, 0.250], [0.261, 0.394, 0.750]], "space_group": "P6_3/m", "magnetic_moment_mub_per_cell": 0.00, "dft_energy_ev_per_cell": -40.8, "dos_ef_per_ev_fu": 1.8}

***

# 7
{"formula": "PdI", "functional": "PBE", "state": "optimized geometry", "lattice": [[10.655, 0.000, 0.000], [0.000, 10.655, 0.000], [0.000, 0.000, 4.526]], "species": ["Pd", "Pd", "Pd", "Pd", "Pd", "Pd", "Pd", "Pd", "I", "I", "I", "I", "I", "I", "I", "I"], "fractional_positions": [[0.292, 0.816, 0.000], [0.708, 0.184, 0.000], [0.184, 0.292, 0.000], [0.816, 0.708, 0.000], [0.792, 0.316, 0.500], [0.208, 0.684, 0.500], [0.684, 0.792, 0.500], [0.316, 0.208, 0.500], [0.442, 0.229, 0.000], [0.558, 0.771, 0.000], [0.771, 0.442, 0.000], [0.229, 0.558, 0.000], [0.942, 0.729, 0.500], [0.058, 0.271, 0.500], [0.271, 0.942, 0.500], [0.729, 0.058, 0.500]], "space_group": "I4/m", "magnetic_moment_mub_per_cell": 0.00, "dft_energy_ev_per_cell": -54.5, "dos_ef_per_ev_fu": 1.4}

***

# 8
{"formula": "PdI", "functional": "PBE", "state": "optimized geometry", "lattice": [[-1.848, -6.991, -2.433], [-0.596, -2.359, 7.232], [-7.379, 1.942, 0.026]], "species": ["Pd", "Pd", "Pd", "Pd", "Pd", "Pd", "I", "I", "I", "I", "I", "I"], "fractional_positions": [[0.250, 0.500, 0.000], [0.750, 0.500, 0.000], [0.500, 0.000, 0.250], [0.500, 0.000, 0.750], [0.000, 0.250, 0.500], [0.000, 0.750, 0.500], [0.250, 0.000, 0.500], [0.750, 0.000, 0.500], [0.000, 0.500, 0.250], [0.000, 0.500, 0.750], [0.500, 0.250, 0.000], [0.500, 0.750, 0.000]], "space_group": "Pm-3n", "magnetic_moment_mub_per_cell": 0.00, "dft_energy_ev_per_cell": -39.5, "dos_ef_per_ev_fu": 2.2}

***

# 9
{"formula": "PdI", "functional": "PBE", "state": "optimized geometry", "lattice": [[4.060, 0.000, 0.000], [0.000, 4.060, 0.000], [0.000, 0.000, 5.750]], "species": ["Pd", "Pd", "I", "I"], "fractional_positions": [[0.000, 0.000, 0.000], [0.500, 0.500, 0.500], [0.000, 0.000, 0.500], [0.500, 0.500, 0.000]], "space_group": "Fm-3m", "magnetic_moment_mub_per_cell": 0.00, "dft_energy_ev_per_cell": -13.5, "dos_ef_per_ev_fu": 1.6}

***

# 10
{"formula": "PdI", "functional": "PBE", "state": "optimized geometry", "lattice": [[-2.686, -1.474, 2.794], [2.425, -2.610, -2.123], [5.416, 0.558, 5.500]], "species": ["Pd", "Pd", "I", "I"], "fractional_positions": [[0.667, 0.333, 0.380], [0.000, 0.000, 0.577], [0.333, 0.667, 0.739], [0.000, 0.000, 0.215]], "space_group": "P3m1", "magnetic_moment_mub_per_cell": 0.00, "dft_energy_ev_per_cell": -13.7, "dos_ef_per_ev_fu": 2.0}

***

# 11
{"formula": "Pd5I", "functional": "PBE", "state": "optimized geometry", "lattice": [[4.080, 0.000, 0.000], [0.000, 4.082, 0.000], [0.000, -2.041, 6.098]], "species": ["I", "Pd", "Pd", "Pd", "Pd", "Pd"], "fractional_positions": [[0.000, 0.000, 0.000], [0.500, 0.829, 0.658], [0.000, 0.673, 0.346], [0.500, 0.500, 0.000], [0.000, 0.327, 0.654], [0.500, 0.171, 0.342]], "space_group": "Cmmm", "magnetic_moment_mub_per_cell": 0.00, "dft_energy_ev_per_cell": -26.7, "dos_ef_per_ev_fu": 9.1}

***

# 12
{"formula": "PdI", "functional": "PBE", "state": "optimized geometry", "lattice": [[-6.188, 3.188, 4.162], [-2.546, -0.924, -3.077], [0.377, -6.866, 1.750]], "species": ["Pd", "Pd", "Pd", "Pd", "I", "I", "I", "I"], "fractional_positions": [[0.410, 0.000, 0.136], [0.590, 0.000, 0.864], [0.410, 0.500, 0.636], [0.590, 0.500, 0.364], [0.760, 0.000, 0.588], [0.240, 0.000, 0.412], [0.760, 0.500, 0.088], [0.240, 0.500, 0.912]], "space_group": "C2/m", "magnetic_moment_mub_per_cell": 0.00, "dft_energy_ev_per_cell": -28.0, "dos_ef_per_ev_fu": 1.2}

***

Let's list formation energy from raw total energies in order: -96.4, 55.6, -36.6, -0.5, 0.0, -26.8, -36.2, 82.0, 3.5, -45.5, 130.1, -134.6 meV/atom.